Entry 1:
A geometry-optimized SmGa2Tc2 structure, computed with GGA-PBE.

Lattice parameters (Å, degrees): 11.292 11.292 11.292 158.70 158.31 30.58
Fractional coordinates of all 10 atoms:
Sm 0.347 0.097 0.250
Sm 0.653 0.903 0.750
Ga 0.107 0.357 0.750
Ga 0.223 0.473 0.750
Ga 0.777 0.527 0.250
Ga 0.893 0.643 0.250
Tc 0.033 0.783 0.250
Tc 0.467 0.717 0.750
Tc 0.533 0.283 0.250
Tc 0.967 0.217 0.750

Summary:
Energy relative to the elements ... -0.404 eV per atom
Density of states at the Fermi level ... 0.590 states/eV/atom
Crystal system ... orthorhombic

---

Entry 2:
A geometry-optimized SmGa5Tc structure, computed with GGA-PBE.

Lattice parameters (Å, degrees): 4.368 4.368 7.061 90.00 90.00 90.00
Fractional coordinates of all 7 atoms:
Sm 0.000 0.000 0.000
Ga 0.000 0.500 0.308
Ga 0.000 0.500 0.692
Ga 0.500 0.000 0.308
Ga 0.500 0.000 0.692
Ga 0.500 0.500 0.000
Tc 0.000 0.000 0.500

Summary:
Energy relative to the elements ... -0.386 eV per atom
Density of states at the Fermi level ... 0.371 states/eV/atom
Crystal system ... tetragonal

---

Entry 3:
A geometry-optimized Sm2GaTc structure, computed with GGA-PBE.

Lattice parameters (Å, degrees): 3.614 3.614 7.014 90.00 90.00 90.00
Fractional coordinates of all 4 atoms:
Sm 0.000 0.000 0.236
Sm 0.000 0.000 0.764
Ga 0.500 0.500 0.500
Tc 0.500 0.500 0.000

Summary:
Energy relative to the elements ... -0.163 eV per atom
Density of states at the Fermi level ... 1.348 states/eV/atom
Crystal system ... tetragonal

---

Entry 4:
A geometry-optimized Sm12Ga6Tc structure, computed with GGA-PBE.

Lattice parameters (Å, degrees): 8.511 8.511 8.511 98.98 98.98 98.98
Fractional coordinates of all 19 atoms:
Sm 0.025 0.680 0.941
Sm 0.059 0.975 0.320
Sm 0.184 0.430 0.567
Sm 0.320 0.059 0.975
Sm 0.430 0.567 0.184
Sm 0.433 0.816 0.570
Sm 0.567 0.184 0.430
Sm 0.570 0.433 0.816
Sm 0.680 0.941 0.025
Sm 0.816 0.570 0.433
Sm 0.941 0.025 0.680
Sm 0.975 0.320 0.059
Ga 0.135 0.635 0.306
Ga 0.306 0.135 0.635
Ga 0.365 0.694 0.865
Ga 0.635 0.306 0.135
Ga 0.694 0.865 0.365
Ga 0.865 0.365 0.694
Tc 0.000 0.000 0.000

Summary:
Energy relative to the elements ... -0.148 eV per atom
Density of states at the Fermi level ... 1.418 states/eV/atom
Crystal system ... trigonal

---

Entry 5:
A geometry-optimized Sm6GaTc2 structure, computed with GGA-PBE.

Lattice parameters (Å, degrees): 8.598 8.598 8.598 112.24 111.62 104.66
Fractional coordinates of all 18 atoms:
Sm 0.020 0.832 0.188
Sm 0.247 0.550 0.303
Sm 0.247 0.944 0.697
Sm 0.274 0.317 0.590
Sm 0.274 0.683 0.957
Sm 0.357 0.168 0.188
Sm 0.643 0.832 0.812
Sm 0.726 0.317 0.043
Sm 0.726 0.683 0.410
Sm 0.753 0.056 0.303
Sm 0.753 0.450 0.697
Sm 0.980 0.168 0.812
Ga 0.000 0.500 0.500
Ga 0.500 0.000 0.500
Tc 0.000 0.182 0.182
Tc 0.000 0.818 0.818
Tc 0.387 0.387 0.000
Tc 0.613 0.613 0.000

Summary:
Energy relative to the elements ... -0.137 eV per atom
Density of states at the Fermi level ... 0.880 states/eV/atom
Crystal system ... orthorhombic

---

Entry 6:
A geometry-optimized SmGa2Tc4 structure, computed with GGA-PBE.

Lattice parameters (Å, degrees): 4.209 14.196 4.211 90.00 90.00 90.00
Fractional coordinates of all 14 atoms:
Sm 0.000 0.000 0.000
Sm 0.500 0.500 0.000
Ga 0.000 0.412 0.500
Ga 0.000 0.588 0.500
Ga 0.500 0.088 0.500
Ga 0.500 0.912 0.500
Tc 0.000 0.200 0.500
Tc 0.000 0.300 0.000
Tc 0.000 0.700 0.000
Tc 0.000 0.800 0.500
Tc 0.500 0.200 0.000
Tc 0.500 0.300 0.500
Tc 0.500 0.700 0.500
Tc 0.500 0.800 0.000

Summary:
Energy relative to the elements ... -0.271 eV per atom
Density of states at the Fermi level ... 0.613 states/eV/atom
Crystal system ... orthorhombic

---

Entry 7:
A geometry-optimized Sm4Ga12Tc structure, computed with GGA-PBE.

Lattice parameters (Å, degrees): 7.568 7.568 7.568 109.47 109.47 109.47
Fractional coordinates of all 17 atoms:
Sm 0.000 0.000 0.500
Sm 0.000 0.500 0.000
Sm 0.500 0.000 0.000
Sm 0.500 0.500 0.500
Ga 0.000 0.290 0.290
Ga 0.000 0.710 0.710
Ga 0.250 0.500 0.750
Ga 0.250 0.750 0.500
Ga 0.290 0.000 0.290
Ga 0.290 0.290 0.000
Ga 0.500 0.250 0.750
Ga 0.500 0.750 0.250
Ga 0.710 0.000 0.710
Ga 0.710 0.710 0.000
Ga 0.750 0.250 0.500
Ga 0.750 0.500 0.250
Tc 0.000 0.000 0.000

Summary:
Energy relative to the elements ... -0.554 eV per atom
Density of states at the Fermi level ... 0.652 states/eV/atom
Crystal system ... cubic

---

Entry 8:
A geometry-optimized Sm4GaTc structure, computed with GGA-PBE.

Lattice parameters (Å, degrees): 8.054 8.054 6.335 105.43 105.43 111.96
Fractional coordinates of all 12 atoms:
Sm 0.057 0.708 0.921
Sm 0.220 0.359 0.686
Sm 0.292 0.943 0.579
Sm 0.359 0.220 0.186
Sm 0.641 0.780 0.814
Sm 0.708 0.057 0.421
Sm 0.780 0.641 0.314
Sm 0.943 0.292 0.079
Ga 0.373 0.627 0.250
Ga 0.627 0.373 0.750
Tc 0.001 0.999 0.250
Tc 0.999 0.001 0.750

Summary:
Energy relative to the elements ... -0.207 eV per atom
Density of states at the Fermi level ... 1.032 states/eV/atom
Crystal system ... monoclinic

---

Entry 9:
A geometry-optimized SmGa3Tc3 structure, computed with GGA-PBE.

Lattice parameters (Å, degrees): 6.780 6.780 6.780 90.00 90.00 90.00
Fractional coordinates of all 14 atoms:
Sm 0.000 0.000 0.000
Sm 0.500 0.500 0.500
Ga 0.000 0.250 0.500
Ga 0.000 0.750 0.500
Ga 0.250 0.500 0.000
Ga 0.500 0.000 0.250
Ga 0.500 0.000 0.750
Ga 0.750 0.500 0.000
Tc 0.000 0.500 0.250
Tc 0.000 0.500 0.750
Tc 0.250 0.000 0.500
Tc 0.500 0.250 0.000
Tc 0.500 0.750 0.000
Tc 0.750 0.000 0.500

Summary:
Energy relative to the elements ... 0.669 eV per atom
Density of states at the Fermi level ... 1.292 states/eV/atom
Crystal system ... cubic

---

Entry 10:
A geometry-optimized SmGa8Tc2 structure, computed with GGA-PBE.

Lattice parameters (Å, degrees): 6.785 6.785 4.863 98.64 98.64 99.16
Fractional coordinates of all 11 atoms:
Sm 0.000 0.000 0.000
Ga 0.097 0.357 0.602
Ga 0.298 0.702 0.000
Ga 0.357 0.097 0.602
Ga 0.382 0.382 0.260
Ga 0.618 0.618 0.740
Ga 0.643 0.903 0.398
Ga 0.702 0.298 0.000
Ga 0.903 0.643 0.398
Tc 0.281 0.719 0.500
Tc 0.719 0.281 0.500

Summary:
Energy relative to the elements ... -0.195 eV per atom
Density of states at the Fermi level ... 0.492 states/eV/atom
Crystal system ... monoclinic

---

Entry 11:
A geometry-optimized Sm2Ga5Tc structure, computed with GGA-PBE.

Lattice parameters (Å, degrees): 6.185 6.185 8.802 90.00 90.00 90.00
Fractional coordinates of all 16 atoms:
Sm 0.000 0.500 0.000
Sm 0.000 0.500 0.500
Sm 0.500 0.000 0.000
Sm 0.500 0.000 0.500
Ga 0.000 0.000 0.481
Ga 0.213 0.213 0.254
Ga 0.213 0.787 0.254
Ga 0.287 0.287 0.754
Ga 0.287 0.713 0.754
Ga 0.500 0.500 0.981
Ga 0.713 0.287 0.754
Ga 0.713 0.713 0.754
Ga 0.787 0.213 0.254
Ga 0.787 0.787 0.254
Tc 0.000 0.000 0.760
Tc 0.500 0.500 0.260

Summary:
Energy relative to the elements ... -0.394 eV per atom
Density of states at the Fermi level ... 0.493 states/eV/atom
Crystal system ... tetragonal

---

Entry 12:
A geometry-optimized Sm2Ga3Tc structure, computed with GGA-PBE.

Lattice parameters (Å, degrees): 5.451 5.451 5.451 61.73 61.73 61.73
Fractional coordinates of all 6 atoms:
Sm 0.128 0.128 0.128
Sm 0.872 0.872 0.872
Ga 0.000 0.500 0.500
Ga 0.500 0.000 0.500
Ga 0.500 0.500 0.000
Tc 0.500 0.500 0.500

Summary:
Energy relative to the elements ... -0.484 eV per atom
Density of states at the Fermi level ... 0.699 states/eV/atom
Crystal system ... trigonal

---

Entry 13:
A geometry-optimized Sm2Ga8Tc structure, computed with GGA-PBE.

Lattice parameters (Å, degrees): 4.325 4.325 11.531 90.00 90.00 90.00
Fractional coordinates of all 11 atoms:
Sm 0.000 0.000 0.191
Sm 0.000 0.000 0.809
Ga 0.000 0.500 0.000
Ga 0.000 0.500 0.380
Ga 0.000 0.500 0.620
Ga 0.500 0.000 0.000
Ga 0.500 0.000 0.380
Ga 0.500 0.000 0.620
Ga 0.500 0.500 0.191
Ga 0.500 0.500 0.809
Tc 0.000 0.000 0.500

Summary:
Energy relative to the elements ... -0.433 eV per atom
Density of states at the Fermi level ... 0.431 states/eV/atom
Crystal system ... tetragonal

---

Entry 14:
A geometry-optimized SmGa2Tc structure, computed with GGA-PBE.

Lattice parameters (Å, degrees): 3.150 3.150 27.110 90.00 90.00 120.00
Fractional coordinates of all 12 atoms:
Sm 0.000 0.000 0.000
Sm 0.333 0.667 0.667
Sm 0.667 0.333 0.333
Ga 0.000 0.000 0.237
Ga 0.000 0.000 0.763
Ga 0.333 0.667 0.430
Ga 0.333 0.667 0.903
Ga 0.667 0.333 0.097
Ga 0.667 0.333 0.570
Tc 0.000 0.000 0.500
Tc 0.333 0.667 0.167
Tc 0.667 0.333 0.833

Summary:
Energy relative to the elements ... -0.007 eV per atom
Density of states at the Fermi level ... 0.681 states/eV/atom
Crystal system ... trigonal
ΔE to the lowest computed polymorph ... 1.07 eV per formula unit

---

Entry 15:
A geometry-optimized SmThGaTc structure, computed with GGA-PBE.

Lattice parameters (Å, degrees): 3.947 4.144 11.824 90.00 90.00 90.00
Fractional coordinates of all 8 atoms:
Sm 0.000 0.000 0.000
Sm 0.000 0.500 0.500
Th 0.500 0.000 0.723
Th 0.500 0.500 0.223
Ga 0.500 0.000 0.419
Ga 0.500 0.500 0.919
Tc 0.000 0.000 0.267
Tc 0.000 0.500 0.767

Summary:
Energy relative to the elements ... -0.354 eV per atom
Density of states at the Fermi level ... 1.159 states/eV/atom
Crystal system ... orthorhombic
ΔE to the lowest computed polymorph ... 0.00 eV per formula unit

---

Entry 16:
A geometry-optimized SmThGaTc structure, computed with GGA-PBE.

Lattice parameters (Å, degrees): 7.212 7.212 7.212 90.00 90.00 90.00
Fractional coordinates of all 16 atoms:
Sm 0.000 0.000 0.000
Sm 0.000 0.500 0.500
Sm 0.500 0.000 0.500
Sm 0.500 0.500 0.000
Th 0.000 0.000 0.500
Th 0.000 0.500 0.000
Th 0.500 0.000 0.000
Th 0.500 0.500 0.500
Ga 0.250 0.250 0.750
Ga 0.250 0.750 0.250
Ga 0.750 0.250 0.250
Ga 0.750 0.750 0.750
Tc 0.250 0.250 0.250
Tc 0.250 0.750 0.750
Tc 0.750 0.250 0.750
Tc 0.750 0.750 0.250

Summary:
Energy relative to the elements ... -0.177 eV per atom
Density of states at the Fermi level ... 0.559 states/eV/atom
Crystal system ... cubic
ΔE to the lowest computed polymorph ... 0.71 eV per formula unit

---

Entry 17:
A geometry-optimized SmYGaTc structure, computed with GGA-PBE.

Lattice parameters (Å, degrees): 7.086 7.086 7.086 90.00 90.00 90.00
Fractional coordinates of all 16 atoms:
Sm 0.000 0.000 0.000
Sm 0.000 0.500 0.500
Sm 0.500 0.000 0.500
Sm 0.500 0.500 0.000
Y 0.000 0.000 0.500
Y 0.000 0.500 0.000
Y 0.500 0.000 0.000
Y 0.500 0.500 0.500
Ga 0.250 0.250 0.250
Ga 0.250 0.750 0.750
Ga 0.750 0.250 0.750
Ga 0.750 0.750 0.250
Tc 0.250 0.250 0.750
Tc 0.250 0.750 0.250
Tc 0.750 0.250 0.250
Tc 0.750 0.750 0.750

Summary:
Energy relative to the elements ... -0.182 eV per atom
Density of states at the Fermi level ... 0.930 states/eV/atom
Crystal system ... cubic

---

Entry 18:
A geometry-optimized Sm3GaTe2 structure, computed with GGA-PBE.

Lattice parameters (Å, degrees): 6.164 14.489 4.593 90.00 90.00 90.00
Fractional coordinates of all 12 atoms:
Sm 0.000 0.000 0.000
Sm 0.000 0.371 0.500
Sm 0.000 0.629 0.500
Sm 0.500 0.129 0.500
Sm 0.500 0.500 0.000
Sm 0.500 0.871 0.500
Ga 0.000 0.500 0.000
Ga 0.500 0.000 0.000
Te 0.000 0.152 0.500
Te 0.000 0.848 0.500
Te 0.500 0.348 0.500
Te 0.500 0.652 0.500

Summary:
Density of states at the Fermi level ... 0.331 states/eV/atom
Crystal system ... orthorhombic
ΔE to the lowest computed polymorph ... 0.80 eV per formula unit

---

Entry 19:
A geometry-optimized Sm10Ga3Te3 structure, computed with GGA-PBE.

Lattice parameters (Å, degrees): 9.031 9.031 6.492 90.00 90.00 120.00
Fractional coordinates of all 16 atoms:
Sm 0.000 0.242 0.000
Sm 0.000 0.756 0.500
Sm 0.242 0.000 0.000
Sm 0.244 0.244 0.500
Sm 0.333 0.667 0.244
Sm 0.333 0.667 0.756
Sm 0.667 0.333 0.244
Sm 0.667 0.333 0.756
Sm 0.756 0.000 0.500
Sm 0.758 0.758 0.000
Ga 0.000 0.609 0.000
Ga 0.391 0.391 0.000
Ga 0.609 0.000 0.000
Te 0.000 0.391 0.500
Te 0.391 0.000 0.500
Te 0.609 0.609 0.500

Summary:
Density of states at the Fermi level ... 0.851 states/eV/atom
Energy ... -4.866 eV/atom
Crystal system ... hexagonal

---

Entry 20:
A geometry-optimized Sm3GaTe structure, computed with GGA-PBE.

Lattice parameters (Å, degrees): 8.719 8.719 8.719 48.71 48.71 48.71
Fractional coordinates of all 10 atoms:
Sm 0.093 0.462 0.699
Sm 0.301 0.538 0.907
Sm 0.462 0.699 0.093
Sm 0.538 0.907 0.301
Sm 0.699 0.093 0.462
Sm 0.907 0.301 0.538
Ga 0.331 0.331 0.331
Ga 0.669 0.669 0.669
Te 0.150 0.150 0.150
Te 0.850 0.850 0.850

Summary:
Density of states at the Fermi level ... 0.892 states/eV/atom
Energy ... -4.511 eV/atom
Crystal system ... trigonal